{"formula": "HoCoB4", "functional": "PBE", "state": "optimized geometry", "sg": "No. 55", "dos_ef_per_ev_cell": 7.8, "m_tot_mub_per_cell": 0.00, "dft_energy_ev_per_atom": -7.00, "lattice": [[-3.006, 1.012, 1.140], [-1.864, -5.579, 0.039], [3.676, -1.154, 10.716]], "species": ["Ho", "Ho", "Ho", "Ho", "Co", "Co", "Co", "Co", "B", "B", "B", "B", "B", "B", "B", "B", "B", "B", "B", "B", "B", "B", "B", "B"], "frac_coords": [[0.500, 0.372, 0.150], [0.500, 0.628, 0.850], [0.500, 0.128, 0.650], [0.500, 0.872, 0.350], [0.500, 0.365, 0.410], [0.500, 0.635, 0.590], [0.500, 0.135, 0.910], [0.500, 0.865, 0.090], [0.000, 0.111, 0.046], [0.000, 0.889, 0.954], [0.000, 0.389, 0.546], [0.000, 0.611, 0.454], [0.000, 0.139, 0.468], [0.000, 0.861, 0.532], [0.000, 0.361, 0.968], [0.000, 0.639, 0.032], [0.000, 0.022, 0.191], [0.000, 0.978, 0.809], [0.000, 0.478, 0.691], [0.000, 0.522, 0.309], [0.000, 0.217, 0.315], [0.000, 0.783, 0.685], [0.000, 0.283, 0.815], [0.000, 0.717, 0.185]]}

=====

{"formula": "HoCo12B6", "functional": "PBE", "state": "optimized geometry", "sg": "No. 166", "dos_ef_per_ev_cell": 13.4, "m_tot_mub_per_cell": 6.82, "dft_energy_ev_per_atom": -7.18, "lattice": [[5.948, 0.001, 0.002], [-1.441, 5.771, 0.002], [-1.441, -1.845, 5.468]], "species": ["Ho", "Co", "Co", "Co", "Co", "Co", "Co", "Co", "Co", "Co", "Co", "Co", "Co", "B", "B", "B", "B", "B", "B"], "frac_coords": [[0.000, 0.000, 0.000], [0.132, 0.868, 0.500], [0.500, 0.132, 0.868], [0.868, 0.500, 0.132], [0.500, 0.868, 0.132], [0.132, 0.500, 0.868], [0.868, 0.132, 0.500], [0.544, 0.814, 0.544], [0.544, 0.544, 0.814], [0.814, 0.544, 0.544], [0.456, 0.186, 0.456], [0.456, 0.456, 0.186], [0.186, 0.456, 0.456], [0.233, 0.679, 0.233], [0.233, 0.233, 0.679], [0.679, 0.233, 0.233], [0.767, 0.321, 0.767], [0.767, 0.767, 0.321], [0.321, 0.767, 0.767]]}

=====

{"formula": "HoCoB", "functional": "PBE", "state": "optimized geometry", "de_polymorph_mev_per_atom": 138.1, "sg": "No. 187", "dos_ef_per_ev_cell": 2.0, "m_tot_mub_per_cell": 0.00, "lattice": [[-1.318, 3.671, 0.488], [-1.519, -0.117, -3.215], [-1.829, -1.038, 2.870]], "species": ["B", "Co", "Ho"], "frac_coords": [[0.167, 0.667, 0.333], [0.167, 0.000, 0.000], [0.667, 0.333, 0.667]]}

=====

{"formula": "HoCo5B2", "functional": "PBE", "state": "optimized geometry", "sg": "No. 71", "dos_ef_per_ev_cell": 9.7, "m_tot_mub_per_cell": 3.73, "dft_energy_ev_per_atom": -6.97, "lattice": [[3.409, 0.000, 0.000], [1.705, 5.206, 0.286], [1.705, 1.238, 5.065]], "species": ["Ho", "Co", "Co", "Co", "Co", "Co", "B", "B"], "frac_coords": [[0.000, 0.000, 0.000], [0.000, 0.500, 0.500], [0.658, 0.531, 0.153], [0.342, 0.469, 0.847], [0.342, 0.847, 0.469], [0.658, 0.153, 0.531], [0.761, 0.739, 0.739], [0.239, 0.261, 0.261]]}